{
  "formula": "LiPm3I8",
  "functional": "PBE",
  "state": "optimized geometry",
  "lattice": [[8.6554, 0.0000, 0.0000], [-4.3277, 6.1179, -4.2741], [0.0000, 0.4295, 9.4111]],
  "species": ["Li", "Pm", "Pm", "Pm", "I", "I", "I", "I", "I", "I", "I", "I"],
  "frac_coords": [[0.0000, 0.0000, 0.0000], [0.5000, 0.0000, 0.0000], [0.5000, 0.5000, 0.0000], [0.0000, 0.5000, 0.0000], [0.2485, 0.4969, 0.7505], [0.7515, 0.5031, 0.2495], [0.2428, 0.0034, 0.7679], [0.7606, 0.0034, 0.7679], [0.7611, 0.5222, 0.7686], [0.2389, 0.4778, 0.2314], [0.2394, 0.9966, 0.2321], [0.7572, 0.9966, 0.2321]],
  "total_magnetization_mub_per_cell": 0.56
}

=====

{
  "formula": "Rb2Li2PmI6",
  "functional": "PBE",
  "state": "optimized geometry",
  "lattice": [[-4.3183, -5.7784, -4.9869], [1.8755, -1.6595, 8.0096], [-6.8097, 5.5246, -0.5047]],
  "species": ["Rb", "Rb", "Li", "Li", "Pm", "I", "I", "I", "I", "I", "I"],
  "frac_coords": [[0.7030, 0.4061, 0.1687], [0.2970, 0.5939, 0.8313], [0.9424, 0.8848, 0.7322], [0.0576, 0.1152, 0.2678], [0.5000, 0.0000, 0.5000], [0.7407, 0.4814, 0.6034], [0.1917, 0.8819, 0.2083], [0.3098, 0.1181, 0.7917], [0.8083, 0.1181, 0.7917], [0.6902, 0.8819, 0.2083], [0.2593, 0.5186, 0.3966]],
  "total_magnetization_mub_per_cell": 1.02
}

=====

{
  "formula": "Rb3Li2PmI8",
  "functional": "PBE",
  "state": "optimized geometry",
  "lattice": [[8.5391, 0.0000, 0.0000], [-4.2696, 7.3951, 0.0000], [0.0000, 0.0000, 10.5297]],
  "species": ["Rb", "Rb", "Rb", "Li", "Li", "Pm", "I", "I", "I", "I", "I", "I", "I", "I"],
  "frac_coords": [[0.3333, 0.6667, 0.6164], [0.6667, 0.3333, 0.3836], [0.0000, 0.0000, 0.0000], [0.3333, 0.6667, 0.1903], [0.6667, 0.3333, 0.8097], [0.0000, 0.0000, 0.5000], [0.3333, 0.6667, 0.9451], [0.6667, 0.3333, 0.0549], [0.1668, 0.8332, 0.3239], [0.8332, 0.1668, 0.6762], [0.1668, 0.3335, 0.3239], [0.8332, 0.6665, 0.6762], [0.6665, 0.8332, 0.3239], [0.3335, 0.1668, 0.6762]],
  "total_magnetization_mub_per_cell": 0.00
}

=====

{
  "formula": "RbLiPm2I8",
  "functional": "PBE",
  "state": "optimized geometry",
  "lattice": [[-6.3414, 0.9466, -4.7520], [-0.0180, -5.6949, 5.5910], [-3.7248, 6.0810, 6.1819]],
  "species": ["Rb", "Li", "Pm", "Pm", "I", "I", "I", "I", "I", "I", "I", "I"],
  "frac_coords": [[0.0000, 0.0000, 0.5000], [0.0000, 0.0000, 0.0000], [0.6667, 0.3333, 0.0950], [0.3333, 0.6667, 0.9050], [0.9331, 0.6430, 0.8424], [0.3570, 0.2901, 0.8424], [0.7099, 0.0669, 0.8424], [0.0669, 0.3570, 0.1576], [0.6430, 0.7099, 0.1576], [0.2901, 0.9331, 0.1576], [0.6667, 0.3333, 0.4155], [0.3333, 0.6667, 0.5845]],
  "total_magnetization_mub_per_cell": 0.00
}

=====

{
  "formula": "RbLi4Pm3I12",
  "functional": "PBE",
  "state": "optimized geometry",
  "lattice": [[10.3772, -0.4656, -0.6469], [-2.9522, 9.9593, -0.6469], [-2.9522, -3.7748, 9.2389]],
  "species": ["Rb", "Li", "Li", "Li", "Li", "Pm", "Pm", "Pm", "I", "I", "I", "I", "I", "I", "I", "I", "I", "I", "I", "I"],
  "frac_coords": [[0.0000, 0.0000, 0.0000], [0.9099, 0.0901, 0.5000], [0.0901, 0.5000, 0.9099], [0.5000, 0.9099, 0.0901], [0.5000, 0.5000, 0.5000], [0.5818, 0.4182, 0.0000], [0.4182, 0.0000, 0.5818], [0.0000, 0.5818, 0.4182], [0.5000, 0.3432, 0.6568], [0.9257, 0.5000, 0.0743], [0.0743, 0.9257, 0.5000], [0.5000, 0.0743, 0.9257], [0.3325, 0.9341, 0.2395], [0.2395, 0.3325, 0.9341], [0.9341, 0.2395, 0.3325], [0.6675, 0.7605, 0.0659], [0.0659, 0.6675, 0.7605], [0.7605, 0.0659, 0.6675], [0.6568, 0.5000, 0.3432], [0.3432, 0.6568, 0.5000]],
  "total_magnetization_mub_per_cell": 2.04
}

=====

{
  "formula": "Li2PmTlI6",
  "functional": "PBE",
  "state": "optimized geometry",
  "lattice": [[7.9130, 0.0003, 0.0015], [3.9567, 6.8514, 0.0007], [3.9574, 2.2842, 7.2206]],
  "species": ["Li", "Li", "Pm", "Tl", "I", "I", "I", "I", "I", "I"],
  "frac_coords": [[0.5096, 0.5098, 0.4713], [0.0049, 0.0054, 0.9841], [0.3228, 0.3227, 0.0317], [0.8092, 0.8091, 0.5727], [0.6012, 0.2571, 0.2352], [0.2573, 0.9062, 0.2354], [0.9063, 0.6012, 0.2353], [0.3510, 0.7443, 0.7499], [0.7444, 0.1549, 0.7497], [0.1549, 0.3509, 0.7499]],
  "total_magnetization_mub_per_cell": 0.00
}

=====

What are the uncorrected energy values for these records? In order: -44.2; -33.3; -42.5; -40.8; -65.6; -31.7 eV for the cell shown.
What are the ΔE_f (raw) values for these records? In order: -1304; -1222; -1332; -1336; -1205; -1146 meV/atom.